No. 1
Computed, not measured: a relaxed structure of AlRu2 at the PBEsol level of DFT.

Summary:
SG	Cmcm, No. 63
energy of formation	-0.33	eV per atom
mass density	9.56	g cm⁻³

abc: 2.8722 4.2801 6.6290
angles: 90.00 102.51 90.00
Sites, in units of the cell vectors:
Ru: 0.4048 0.2500 0.8097
Ru: 0.7330 0.2500 0.4661
Ru: 0.2670 0.7500 0.5339
Ru: 0.5952 0.7500 0.1903
Al: 0.0700 0.2500 0.1401
Al: 0.9300 0.7500 0.8599

=====

No. 2
Computed, not measured: a relaxed structure of AlRu2 at the PBEsol level of DFT.

Summary:
SG	Fd-3m, No. 227
energy of formation	0.24	eV per atom
mass density	8.59	g cm⁻³

abc: 5.0041 5.0041 5.0041
angles: 60.00 60.00 60.00
Sites, in units of the cell vectors:
Ru: 0.1250 0.1250 0.6250
Ru: 0.1250 0.1250 0.1250
Ru: 0.6250 0.1250 0.1250
Ru: 0.1250 0.6250 0.1250
Al: 0.7500 0.7500 0.7500
Al: 0.5000 0.5000 0.5000

=====

No. 3
Computed, not measured: a relaxed structure of AlRuS2 at the PBEsol level of DFT.

Summary:
SG	R-3m, No. 166
uncorrected formation energy	-0.220	eV per atom
mass density	4.92	g cm⁻³

abc: 3.2028 3.2028 7.5335
angles: 77.73 77.73 60.00
Sites, in units of the cell vectors:
Al: 0.5000 0.5000 0.5000
Ru: 0.0000 0.0000 0.0000
S: 0.8983 0.8983 0.3051
S: 0.1017 0.1017 0.6949

=====

No. 4
Computed, not measured: a relaxed structure of AlRu3S at the PBEsol level of DFT.

Summary:
SG	Pm-3m, No. 221
uncorrected formation energy	0.273	eV per atom
mass density	7.87	g cm⁻³

abc: 4.2444 4.2444 4.2444
angles: 90.00 90.00 90.00
Sites, in units of the cell vectors:
S: 0.0000 0.0000 0.0000
Ru: 0.5000 0.0000 0.0000
Ru: 0.0000 0.5000 0.0000
Ru: 0.0000 0.0000 0.5000
Al: 0.5000 0.5000 0.5000

=====

No. 5
Computed, not measured: a relaxed structure of AlSb2Ru at the PBEsol level of DFT.

Summary:
SG	P4mm, No. 99
uncorrected formation energy	-0.135	eV per atom
mass density	7.90	g cm⁻³

abc: 3.1675 3.1675 7.7888
angles: 90.00 90.00 90.00
Sites, in units of the cell vectors:
Ru: 0.5000 0.5000 0.7124
Sb: 0.5000 0.5000 0.3056
Sb: 0.0000 0.0000 0.9320
Al: 0.0000 0.0000 0.5499

=====

No. 6
Computed, not measured: a relaxed structure of AlSb3Ru at the PBEsol level of DFT.

Summary:
SG	Pm-3m, No. 221
uncorrected formation energy	0.556	eV per atom
mass density	6.28	g cm⁻³

abc: 5.0722 5.0722 5.0722
angles: 90.00 90.00 90.00
Sites, in units of the cell vectors:
Sb: 0.0000 0.0000 0.5000
Sb: 0.0000 0.5000 0.0000
Sb: 0.5000 0.0000 0.0000
Ru: 0.0000 0.0000 0.0000
Al: 0.5000 0.5000 0.5000

=====

No. 7
Computed, not measured: a relaxed structure of AlSb2Ru at the PBEsol level of DFT.

Summary:
SG	I-4m2, No. 119
uncorrected formation energy	0.351	eV per atom
mass density	8.15	g cm⁻³

abc: 4.2727 4.2727 5.1293
angles: 114.61 114.61 90.00
Sites, in units of the cell vectors:
Sb: 0.0000 0.0000 0.0000
Sb: 0.7500 0.2500 0.5000
Ru: 0.2500 0.7500 0.5000
Al: 0.5000 0.5000 0.0000

=====

No. 8
Computed, not measured: a relaxed structure of AlSbRu at the PBEsol level of DFT.

Summary:
SG	F-43m, No. 216
uncorrected formation energy	-0.185	eV per atom
mass density	7.44	g cm⁻³

abc: 4.2882 4.2882 4.2882
angles: 60.00 60.00 60.00
Sites, in units of the cell vectors:
Al: 0.5000 0.5000 0.5000
Sb: 0.0000 0.0000 0.0000
Ru: 0.7500 0.7500 0.7500

=====

Q: Among the records above, which one has the lowest mass density?
A: AlRuS2